(1)
# Pr7Cd2In

A relaxed structure of Pr7Cd2In (PBE-GGA, the Alexandria database).

Unit cell a=5.2839 b=9.1654 c=9.1654 alpha=118.85 beta=90.00 gamma=90.00
Last column: nearest neighbours and their distance in Å.
Positions (direct):
Pr (0.0000, 0.7804, 0.2196)  2 Cd 2.95
Pr (0.0000, 0.2196, 0.7804)  2 Cd 2.95
Pr (0.5000, 0.0707, 0.2966)  2 Cd 3.23-3.46, 5 Pr 3.43-3.57, 2 In 3.62
Pr (0.5000, 0.9293, 0.7034)  2 Cd 3.23-3.46, 5 Pr 3.43-3.57, 2 In 3.62
Pr (0.5000, 0.2966, 0.0707)  2 Cd 3.23-3.46, 5 Pr 3.43-3.57, 2 In 3.62
Pr (0.5000, 0.7034, 0.9293)  2 Cd 3.23-3.46, 5 Pr 3.43-3.57, 2 In 3.62
Pr (0.5000, 0.5000, 0.5000)  2 Cd 3.10, 4 Pr 3.45
Cd (0.5000, 0.6966, 0.3034)  5 Pr 2.95-3.23
Cd (0.5000, 0.3034, 0.6966)  5 Pr 2.95-3.23
In (0.0000, 0.0000, 0.0000)  10 Pr 3.47-3.62

Computed properties:
space-group type	No. 65
total magnetic moment	0.000	μB per cell
total DFT energy (no corrections)	-3.57	eV per atom
mass density	5.66	g cm⁻³



(2)
# Pr2Cd16In

A relaxed structure of Pr2Cd16In (PBE-GGA, the Alexandria database).

Unit cell a=7.6984 b=7.6984 c=7.6984 alpha=82.91 beta=82.91 gamma=82.91
Last column: nearest neighbours and their distance in Å.
Positions (direct):
Pr (0.6709, 0.6709, 0.6709)  1 In 3.38, 12 Cd 3.54-3.65
Pr (0.3324, 0.3324, 0.3324)  19 Cd 3.51-3.93
Cd (0.6960, 0.9991, 0.3059)  8 Cd 2.93-3.16
Cd (0.9991, 0.3059, 0.6960)  8 Cd 2.93-3.16
Cd (0.3059, 0.6960, 0.9991)  8 Cd 2.93-3.16
Cd (0.9991, 0.6960, 0.3059)  8 Cd 2.93-3.16
Cd (0.6960, 0.3059, 0.9991)  8 Cd 2.93-3.16
Cd (0.3059, 0.9991, 0.6960)  8 Cd 2.93-3.16
Cd (0.3635, 0.8162, 0.3635)  8 Cd 2.86-3.16
Cd (0.8162, 0.3635, 0.3635)  8 Cd 2.86-3.16
Cd (0.3635, 0.3635, 0.8162)  8 Cd 2.86-3.16
Cd (0.6494, 0.1488, 0.6494)  8 Cd 2.86-3.16, 1 In 3.18
Cd (0.1488, 0.6494, 0.6494)  8 Cd 2.86-3.16, 1 In 3.18
Cd (0.6494, 0.6494, 0.1488)  8 Cd 2.86-3.16, 1 In 3.18
Cd (0.0133, 0.4830, 0.0133)  9 Cd 2.93-3.05, 1 In 3.25
Cd (0.4830, 0.0133, 0.0133)  9 Cd 2.93-3.05, 1 In 3.25
Cd (0.0133, 0.0133, 0.4830)  9 Cd 2.93-3.05, 1 In 3.25
Cd (0.0964, 0.0964, 0.0964)  1 In 2.96, 3 Cd 2.97
In (0.8978, 0.8978, 0.8978)  7 Cd 2.96-3.25

Computed properties:
space-group type	No. 160
total magnetic moment	0.000	μB per cell
total DFT energy (no corrections)	-1.58	eV per atom
mass density	8.16	g cm⁻³



(3)
# PrCd2In

A relaxed structure of PrCd2In (PBE-GGA, the Alexandria database).

Unit cell a=4.8954 b=4.6308 c=4.6308 alpha=90.00 beta=90.00 gamma=90.00
Last column: nearest neighbours and their distance in Å.
Positions (direct):
Pr (0.5000, 0.5000, 0.5000)  4 In 3.27, 8 Cd 3.37
Cd (0.0000, 0.0000, 0.5000)  4 Cd 3.27, 4 Pr 3.37, 4 In 3.37
Cd (0.0000, 0.5000, 0.0000)  4 Cd 3.27, 4 Pr 3.37, 4 In 3.37
In (0.5000, 0.0000, 0.0000)  4 Pr 3.27, 8 Cd 3.37

Computed properties:
space-group type	No. 123
total magnetic moment	0.000	μB per cell
total DFT energy (no corrections)	-2.68	eV per atom
mass density	7.60	g cm⁻³
ΔE to the lowest computed polymorph	0	meV/atom



(4)
# Pr3Cd9In2

A relaxed structure of Pr3Cd9In2 (PBE-GGA, the Alexandria database).

Unit cell a=4.8277 b=9.0756 c=9.0756 alpha=71.30 beta=74.58 gamma=74.58
Last column: nearest neighbours and their distance in Å.
Positions (direct):
Pr (0.0000, 0.0000, 0.0000)  12 Cd 3.53-3.57
Pr (0.7015, 0.2985, 0.2985)  12 Cd 3.42-3.70, 2 In 3.43
Pr (0.2985, 0.7015, 0.7015)  12 Cd 3.42-3.70, 2 In 3.43
Cd (0.0000, 0.5000, 0.5000)  4 Cd 3.08, 4 In 3.12
Cd (0.6558, 0.9753, 0.7131)  4 Cd 2.77-2.94, 1 In 2.91
Cd (0.3442, 0.0247, 0.2868)  4 Cd 2.77-2.94, 1 In 2.91
Cd (0.6558, 0.7131, 0.9753)  4 Cd 2.77-2.94, 1 In 2.91
Cd (0.3442, 0.2868, 0.0247)  4 Cd 2.77-2.94, 1 In 2.91
Cd (0.8559, 0.8646, 0.4237)  4 Cd 2.88-3.08, 2 In 3.16
Cd (0.1441, 0.1354, 0.5763)  4 Cd 2.88-3.08, 2 In 3.16
Cd (0.8559, 0.4237, 0.8646)  4 Cd 2.88-3.08, 2 In 3.16
Cd (0.1441, 0.5763, 0.1354)  4 Cd 2.88-3.08, 2 In 3.16
In (0.5000, 0.3138, 0.6862)  8 Cd 2.91-3.16
In (0.5000, 0.6862, 0.3138)  8 Cd 2.91-3.16

Computed properties:
space-group type	No. 71
total magnetic moment	0.000	μB per cell
total DFT energy (no corrections)	-2.29	eV per atom
mass density	7.76	g cm⁻³



(5)
# Pr5CdIn6

A relaxed structure of Pr5CdIn6 (PBE-GGA, the Alexandria database).

Unit cell a=4.9724 b=9.1244 c=9.2185 alpha=119.66 beta=105.63 gamma=90.01
Last column: nearest neighbours and their distance in Å.
Positions (direct):
Pr (0.3488, 0.8489, 0.6978)  8 In 3.26-3.55, 2 Cd 3.39
Pr (0.6688, 0.6688, 0.3375)  8 In 3.37-3.42, 4 Pr 3.58-3.70
Pr (0.0000, 0.5000, 0.0000)  8 In 3.36-3.44, 4 Pr 3.58
Pr (0.3312, 0.3312, 0.6625)  8 In 3.37-3.42, 4 Pr 3.58-3.70
Pr (0.6512, 0.1511, 0.3022)  8 In 3.26-3.55, 2 Cd 3.39
In (0.1696, 0.4205, 0.3387)  7 Pr 3.37-3.55, 1 Cd 3.45, 4 In 3.49-3.58
In (0.1695, 0.9182, 0.3387)  7 Pr 3.37-3.55, 1 Cd 3.45, 4 In 3.49-3.58
In (0.4999, 0.2526, 0.0000)  6 Pr 3.26-3.42, 2 Cd 3.39, 4 In 3.58
In (0.5001, 0.7474, 0.0000)  6 Pr 3.26-3.42, 2 Cd 3.39, 4 In 3.58
In (0.8305, 0.0818, 0.6613)  7 Pr 3.37-3.55, 1 Cd 3.45, 4 In 3.49-3.58
In (0.8304, 0.5795, 0.6613)  7 Pr 3.37-3.55, 1 Cd 3.45, 4 In 3.49-3.58
Cd (0.0000, 0.0000, 0.0000)  4 Pr 3.39, 8 In 3.39-3.45

Computed properties:
space-group type	No. 71
total magnetic moment	0.000	μB per cell
total DFT energy (no corrections)	-3.86	eV per atom
mass density	7.24	g cm⁻³



(6)
# Pr4CdIn3

A relaxed structure of Pr4CdIn3 (PBE-GGA, the Alexandria database).

Unit cell a=3.7882 b=3.7882 c=16.5119 alpha=90.00 beta=90.00 gamma=90.00
Last column: nearest neighbours and their distance in Å.
Positions (direct):
Pr (0.0000, 0.0000, 0.8771)  4 Cd 3.36, 4 In 3.36
Pr (0.0000, 0.0000, 0.1229)  4 Cd 3.36, 4 In 3.36
Pr (0.0000, 0.0000, 0.3737)  8 In 3.40-3.41, 4 Pr 3.79
Pr (0.0000, 0.0000, 0.6263)  8 In 3.40-3.41, 4 Pr 3.79
In (0.5000, 0.5000, 0.2459)  8 Pr 3.36-3.41
In (0.5000, 0.5000, 0.5000)  8 Pr 3.40, 4 In 3.79
In (0.5000, 0.5000, 0.7541)  8 Pr 3.36-3.41
Cd (0.5000, 0.5000, 0.0000)  8 Pr 3.36

Computed properties:
space-group type	No. 123
total magnetic moment	0.000	μB per cell
total DFT energy (no corrections)	-3.98	eV per atom
mass density	7.15	g cm⁻³



| no. | energy relative to the elements (eV per formula unit) |
| --- | --- |
| 1 | 2.3 |
| 2 | -3.1 |
| 3 | -1.4 |
| 4 | -3.9 |
| 5 | -5.1 |
| 6 | -3.6 |